VASP calculation (PBE with a Hubbard U) on a geometry-optimized NaFeAsO4 structure.

Values from the calculation:
* magnetization: 4.0 μB per formula unit
* density of states at the Fermi level: 0.0 states/eV/cell
* raw total energy: -167.5 eV for the cell shown
* V: 13.7 Å³/atom

Cell lengths 6.2607, 9.4965, 6.4373 Å; angles 90.00, 90.00, 90.00 degrees
Space group Cmcm (No. 63)
Asymmetric unit:
Na (0.0000, 0.0000, 0.0000) [4 per cell]
Fe (0.0000, 0.3417, 0.2500) [4 per cell]
As (0.0000, 0.3633, 0.7500) [4 per cell]
O (0.0000, 0.2562, 0.5336) [8 per cell]
O (0.2123, 0.4808, 0.7500) [8 per cell]